(1)
# TlTcO3

An optimized crystal structure of TlTcO3 (PBE, Alexandria via LeMat-Bulk).

Unit cell a=4.856 b=6.695 c=6.838 alpha=90.00 beta=93.63 gamma=90.00
Element x y z (fractional)
Tl 0.123 0.250 0.225
Tl 0.877 0.750 0.775
Tc 0.419 0.250 0.782
Tc 0.581 0.750 0.218
O 0.253 0.750 0.099
O 0.288 0.025 0.690
O 0.288 0.475 0.690
O 0.712 0.525 0.310
O 0.712 0.975 0.310
O 0.747 0.250 0.901

**Raw total energy**: -6.468 eV per atom



(2)
# TlTcO3

An optimized crystal structure of TlTcO3 (PBE, Alexandria via LeMat-Bulk).

Unit cell a=3.593 b=3.593 c=14.523 alpha=90.00 beta=90.00 gamma=120.00
Element x y z (fractional)
Tl 0.000 0.000 0.000
Tl 0.000 0.000 0.500
Tc 0.333 0.667 0.250
Tc 0.667 0.333 0.750
O 0.000 0.000 0.250
O 0.000 0.000 0.750
O 0.333 0.667 0.126
O 0.333 0.667 0.374
O 0.667 0.333 0.626
O 0.667 0.333 0.874

**Raw total energy**: -6.399 eV per atom